WIF3 | PBE with a Hubbard U | optimized geometry

Unit cell a=4.7923 b=4.7923 c=4.7923 alpha=90.00 beta=90.00 gamma=90.00
Atoms (fractional coordinates):
I 0.0000 0.0000 0.0000
W 0.5000 0.5000 0.5000
F 0.0000 0.5000 0.0000
F 0.0000 0.0000 0.5000
F 0.5000 0.0000 0.0000

Output
Symmetry: Pm-3m (221)
VASP energy, Ry/atom: -0.2067